# Sc3AgRh PBE-GGA relaxed
data_Sc3AgRh
_symmetry_space_group_name_H-M 'P 1'
_symmetry_Int_Tables_number 1
_cell_length_a 4.984
_cell_length_b 4.984
_cell_length_c 4.984
_cell_angle_alpha 90.00
_cell_angle_beta 90.00
_cell_angle_gamma 90.00
loop_
_symmetry_equiv_pos_as_xyz
'x,y,z'
loop_
_atom_site_label
_atom_site_type_symbol
_atom_site_fract_x
_atom_site_fract_y
_atom_site_fract_z
_atom_site_occupancy
Sc1 Sc 0.000 0.000 0.500 1
Sc2 Sc 0.000 0.500 0.000 1
Sc3 Sc 0.500 0.000 0.000 1
Ag1 Ag 0.500 0.500 0.500 1
Rh1 Rh 0.000 0.000 0.000 1
# density: 4.637 Mg/m³
# formation energy from the elements: -0.17 eV/atom
# energy relative to the lowest polymorph listed for this composition: 295 meV/atom
# total moment: 0.0 Bohr magnetons per cell

# BaTaBr2 PBE-GGA relaxed
data_BaTaBr2
_symmetry_space_group_name_H-M 'P 1'
_symmetry_Int_Tables_number 1
_cell_length_a 10.365
_cell_length_b 10.365
_cell_length_c 10.365
_cell_angle_alpha 19.84
_cell_angle_beta 19.84
_cell_angle_gamma 19.84
loop_
_symmetry_equiv_pos_as_xyz
'x,y,z'
loop_
_atom_site_label
_atom_site_type_symbol
_atom_site_fract_x
_atom_site_fract_y
_atom_site_fract_z
_atom_site_occupancy
Ba1 Ba 0.000 0.000 0.000 1
Ta1 Ta 0.500 0.500 0.500 1
Br1 Br 0.416 0.416 0.416 1
Br2 Br 0.584 0.584 0.584 1
# density: 7.075 Mg/m³
# energy relative to the lowest polymorph listed for this composition: 123 meV/atom
# total moment: 0.0 Bohr magnetons per cell

# TaAs2Pb2 PBE-GGA relaxed
data_TaAs2Pb2
_symmetry_space_group_name_H-M 'P 1'
_symmetry_Int_Tables_number 1
_cell_length_a 6.864
_cell_length_b 6.864
_cell_length_c 5.176
_cell_angle_alpha 90.00
_cell_angle_beta 90.00
_cell_angle_gamma 90.00
loop_
_symmetry_equiv_pos_as_xyz
'x,y,z'
loop_
_atom_site_label
_atom_site_type_symbol
_atom_site_fract_x
_atom_site_fract_y
_atom_site_fract_z
_atom_site_occupancy
Ta1 Ta 0.000 0.000 0.000 1
Ta2 Ta 0.500 0.500 0.000 1
As1 As 0.152 0.348 0.000 1
As2 As 0.348 0.848 0.000 1
As3 As 0.652 0.152 0.000 1
As4 As 0.848 0.652 0.000 1
Pb1 Pb 0.177 0.677 0.500 1
Pb2 Pb 0.323 0.177 0.500 1
Pb3 Pb 0.677 0.823 0.500 1
Pb4 Pb 0.823 0.323 0.500 1
# density: 10.150 Mg/m³
# formation energy from the elements: 0.18 eV/atom
# energy relative to the lowest polymorph listed for this composition: 0 meV/atom
# total moment: 1.8 Bohr magnetons per cell

# Bi2PdAu2 PBE-GGA relaxed
data_Bi2PdAu2
_symmetry_space_group_name_H-M 'P 1'
_symmetry_Int_Tables_number 1
_cell_length_a 5.664
_cell_length_b 5.664
_cell_length_c 11.641
_cell_angle_alpha 109.88
_cell_angle_beta 109.88
_cell_angle_gamma 40.33
loop_
_symmetry_equiv_pos_as_xyz
'x,y,z'
loop_
_atom_site_label
_atom_site_type_symbol
_atom_site_fract_x
_atom_site_fract_y
_atom_site_fract_z
_atom_site_occupancy
Bi1 Bi 0.009 0.009 0.172 1
Bi2 Bi 0.190 0.190 0.618 1
Bi3 Bi 0.810 0.810 0.382 1
Bi4 Bi 0.991 0.991 0.828 1
Pd1 Pd 0.294 0.294 0.196 1
Pd2 Pd 0.706 0.706 0.804 1
Au1 Au 0.351 0.351 0.973 1
Au2 Au 0.454 0.454 0.603 1
Au3 Au 0.546 0.546 0.397 1
Au4 Au 0.649 0.649 0.027 1
# density: 13.539 Mg/m³
# formation energy from the elements: -0.12 eV/atom
# energy relative to the lowest polymorph listed for this composition: 0 meV/atom
# total moment: 0.0 Bohr magnetons per cell

# LaNdSm2Dy5 PBE-GGA relaxed
data_LaNdSm2Dy5
_symmetry_space_group_name_H-M 'P 1'
_symmetry_Int_Tables_number 1
_cell_length_a 9.970
_cell_length_b 9.970
_cell_length_c 9.970
_cell_angle_alpha 127.82
_cell_angle_beta 127.82
_cell_angle_gamma 76.92
loop_
_symmetry_equiv_pos_as_xyz
'x,y,z'
loop_
_atom_site_label
_atom_site_type_symbol
_atom_site_fract_x
_atom_site_fract_y
_atom_site_fract_z
_atom_site_occupancy
La1 La 0.250 0.250 0.000 1
La2 La 0.750 0.750 0.000 1
Nd1 Nd 0.250 0.750 0.500 1
Nd2 Nd 0.750 0.250 0.500 1
Sm1 Sm 0.117 0.617 0.735 1
Sm2 Sm 0.383 0.117 0.500 1
Sm3 Sm 0.617 0.883 0.500 1
Sm4 Sm 0.883 0.383 0.265 1
Dy1 Dy 0.000 0.000 0.000 1
Dy2 Dy 0.072 0.159 0.500 1
Dy3 Dy 0.159 0.659 0.087 1
Dy4 Dy 0.341 0.428 0.500 1
Dy5 Dy 0.428 0.928 0.087 1
Dy6 Dy 0.500 0.500 0.000 1
Dy7 Dy 0.572 0.072 0.913 1
Dy8 Dy 0.659 0.572 0.500 1
Dy9 Dy 0.841 0.341 0.913 1
Dy10 Dy 0.928 0.841 0.500 1
# density: 7.725 Mg/m³
# formation energy from the elements: 0.25 eV/atom
# total moment: 0.0 Bohr magnetons per cell

# ScTcHg4 PBE-GGA relaxed
data_ScTcHg4
_symmetry_space_group_name_H-M 'P 1'
_symmetry_Int_Tables_number 1
_cell_length_a 5.655
_cell_length_b 5.655
_cell_length_c 5.655
_cell_angle_alpha 60.00
_cell_angle_beta 60.00
_cell_angle_gamma 60.00
loop_
_symmetry_equiv_pos_as_xyz
'x,y,z'
loop_
_atom_site_label
_atom_site_type_symbol
_atom_site_fract_x
_atom_site_fract_y
_atom_site_fract_z
_atom_site_occupancy
Sc1 Sc 0.000 0.000 0.000 1
Tc1 Tc 0.750 0.750 0.750 1
Hg1 Hg 0.375 0.375 0.375 1
Hg2 Hg 0.375 0.375 0.874 1
Hg3 Hg 0.375 0.874 0.375 1
Hg4 Hg 0.874 0.375 0.375 1
# density: 12.273 Mg/m³
# formation energy from the elements: 0.44 eV/atom
# total moment: 1.6 Bohr magnetons per cell

# TbSm2Sc3 PBE-GGA relaxed
data_TbSm2Sc3
_symmetry_space_group_name_H-M 'P 1'
_symmetry_Int_Tables_number 1
_cell_length_a 7.391
_cell_length_b 7.391
_cell_length_c 6.976
_cell_angle_alpha 104.96
_cell_angle_beta 104.96
_cell_angle_gamma 96.96
loop_
_symmetry_equiv_pos_as_xyz
'x,y,z'
loop_
_atom_site_label
_atom_site_type_symbol
_atom_site_fract_x
_atom_site_fract_y
_atom_site_fract_z
_atom_site_occupancy
Tb1 Tb 0.000 0.000 0.000 1
Tb2 Tb 0.000 0.000 0.500 1
Sm1 Sm 0.093 0.561 0.764 1
Sm2 Sm 0.439 0.907 0.736 1
Sm3 Sm 0.561 0.093 0.264 1
Sm4 Sm 0.907 0.439 0.236 1
Sc1 Sc 0.290 0.710 0.250 1
Sc2 Sc 0.319 0.352 0.471 1
Sc3 Sc 0.352 0.319 0.971 1
Sc4 Sc 0.648 0.681 0.029 1
Sc5 Sc 0.681 0.648 0.529 1
Sc6 Sc 0.710 0.290 0.750 1
# density: 5.667 Mg/m³
# formation energy from the elements: 0.21 eV/atom
# energy relative to the lowest polymorph listed for this composition: 128 meV/atom
# total moment: 0.0 Bohr magnetons per cell

# BeCuS2N PBE-GGA relaxed
data_BeCuS2N
_symmetry_space_group_name_H-M 'P 1'
_symmetry_Int_Tables_number 1
_cell_length_a 4.644
_cell_length_b 4.644
_cell_length_c 3.060
_cell_angle_alpha 90.00
_cell_angle_beta 90.00
_cell_angle_gamma 90.00
loop_
_symmetry_equiv_pos_as_xyz
'x,y,z'
loop_
_atom_site_label
_atom_site_type_symbol
_atom_site_fract_x
_atom_site_fract_y
_atom_site_fract_z
_atom_site_occupancy
Be1 Be 0.000 0.000 0.000 1
Cu1 Cu 0.500 0.500 0.500 1
S1 S 0.000 0.500 0.000 1
S2 S 0.500 0.000 0.000 1
N1 N 0.000 0.000 0.500 1
# density: 3.793 Mg/m³
# energy relative to the lowest polymorph listed for this composition: 0 meV/atom
# total moment: 0.0 Bohr magnetons per cell

Across the entries above, uncorrected energy takes the values -30.0; -17.5; -55.3; -40.2; -79.8; -15.3; -63.6; -20.9 eV per cell, respectively.